# 1
Cs2NaTeCl6 | PBE-GGA | relaxed

Geometry as POSCAR:
```
Cs2NaTeCl6
1.0
7.939 0.000 0.000
3.970 6.876 0.000
3.970 2.292 12.354
Cs Cl Te Na
4 12 2 2
Cartesian
11.909 6.876 4.683
11.909 6.876 10.756
3.970 2.292 7.671
3.970 2.292 1.598
7.939 2.264 7.587
7.939 6.904 4.767
9.949 5.744 7.587
7.939 2.343 1.341
5.930 3.424 4.767
7.939 6.825 11.013
5.930 5.744 7.587
5.999 3.463 11.013
9.949 3.424 4.767
5.999 5.704 1.341
9.880 3.463 11.013
9.880 5.704 1.341
0.000 0.000 0.000
7.939 4.584 6.177
7.939 4.584 9.406
7.939 4.584 2.948
```

Fermi-level density of states in states/eV/cell: 3.50

***

# 2
CsNa2TeCl | PBE-GGA | relaxed

Geometry as POSCAR:
```
CsNa2TeCl
1.0
-2.864 3.741 1.687
1.149 -5.202 6.065
7.549 4.633 2.543
Cs Na Cl Te
2 4 2 2
Cartesian
5.408 0.481 8.115
0.427 2.691 2.180
7.002 3.199 4.794
1.710 1.739 6.470
-1.168 -0.027 5.501
4.125 1.433 3.825
0.000 0.000 0.000
3.775 2.316 1.271
1.735 -0.642 4.369
4.100 3.814 5.926
```

Fermi-level density of states in states/eV/cell: 0.00

***

Number 1: formation energy (no corrections) -1299 meV per atom. Number 2: formation energy (no corrections) -1335 meV per atom.